CsVCl14 after structural relaxation, computed with PBE-GGA.

Summary:
Symmetry ... C2 (5)
DFT total energy ... -2.805 eV/atom
Volume ... 39.5 A^3/atom
Magnetic moment ... 0.1 μB/cell

The structure in CIF format:
```
data_CsVCl14
_chemical_formula_sum 'Cs1 V1 Cl14'
_cell_length_a 11.273
_cell_length_b 11.273
_cell_length_c 6.822
_cell_angle_alpha 101.77
_cell_angle_beta 101.77
_cell_angle_gamma 125.50
_symmetry_space_group_name_H-M 'P 1'
_symmetry_Int_Tables_number 1
_symmetry_space_group_name_Hall 'P 1'
loop_
_atom_site_label
_atom_site_fract_x
_atom_site_fract_y
_atom_site_fract_z
Cs1 0.000 0.000 0.000
V1 0.490 0.510 0.000
Cl1 0.015 0.985 0.500
Cl2 0.114 0.734 0.740
Cl3 0.266 0.886 0.260
Cl4 0.272 0.335 0.700
Cl5 0.283 0.497 0.125
Cl6 0.389 0.611 0.500
Cl7 0.428 0.091 0.526
Cl8 0.469 0.347 0.147
Cl9 0.503 0.717 0.875
Cl10 0.653 0.531 0.853
Cl11 0.665 0.728 0.300
Cl12 0.740 0.120 0.342
Cl13 0.880 0.260 0.658
Cl14 0.909 0.572 0.474
```